The following is a GGA-PBE calculation of a relaxed Ni2Mo crystal, from Alexandria via LeMat-Bulk.

The structure in extended XYZ format:
```
12
Lattice="-1.057 -7.221 -8.599 -2.681 -9.999 -4.476 -0.577 9.445 6.137" Properties=species:S:1:pos:R:3 pbc="T T T"
Ni -2.803 -12.911 -9.804
Ni -0.935 -4.308 -3.271
Ni -2.685 -7.494 -7.766
Ni -0.818 1.109 -1.234
Ni -2.175 -10.018 -7.607
Ni -1.563 -7.201 -5.468
Ni -2.057 -4.601 -5.569
Ni -1.446 -1.784 -3.430
Mo -3.426 -15.779 -11.981
Mo -0.313 -1.440 -1.094
Mo -2.251 -3.141 -1.345
Mo -2.876 -6.022 -3.532
```

SG: I4_1/amd (141)
Energy of formation in eV per atom: 0.02
Energy relative to the lowest polymorph listed for this composition in kJ/mol of formula units: 31.2

=====

The following is a GGA-PBE calculation of a relaxed NiMo2 crystal, from Alexandria via LeMat-Bulk.

The structure in extended XYZ format:
```
12
Lattice="-5.001 -2.871 0.351 0.946 -2.287 -5.220 2.734 -4.461 2.450" Properties=species:S:1:pos:R:3 pbc="T T T"
Ni 0.000 0.000 0.000
Ni 1.840 -3.374 -1.385
Ni -1.134 -3.666 1.401
Ni -2.027 -2.579 -2.435
Mo 2.385 -5.689 -1.046
Mo 1.263 -4.049 -3.618
Mo 0.622 -5.286 1.655
Mo -0.501 -3.646 -0.917
Mo -0.820 -5.974 -1.502
Mo -1.943 -4.333 -4.074
Mo -2.584 -5.571 1.199
Mo -3.706 -3.931 -1.373
```

SG: Pa-3 (205)
Energy of formation in eV per atom: 0.80
Energy relative to the lowest polymorph listed for this composition in kJ/mol of formula units: 219.6

=====

The following is a GGA-PBE calculation of a relaxed Ni2Mo crystal, from Alexandria via LeMat-Bulk.

The structure in extended XYZ format:
```
3
Lattice="4.274 0.000 0.000 0.000 4.274 0.000 0.000 0.000 2.617" Properties=species:S:1:pos:R:3 pbc="T T T"
Mo 0.000 0.000 0.000
Ni 0.000 2.137 1.309
Ni 2.137 0.000 1.309
```

SG: P4/mmm (123)
Energy of formation in eV per atom: 0.76
Energy relative to the lowest polymorph listed for this composition in kJ/mol of formula units: 244.7

=====

The following is a GGA-PBE calculation of a relaxed Ni2Mo crystal, from Alexandria via LeMat-Bulk.

The structure in extended XYZ format:
```
6
Lattice="-1.783 -2.366 4.036 0.264 -3.783 3.270 3.354 2.328 4.656" Properties=species:S:1:pos:R:3 pbc="T T T"
Ni 0.035 -3.062 5.752
Ni 0.599 -4.422 9.772
Ni 1.223 -2.552 7.980
Ni 2.731 0.480 6.406
Mo 3.315 2.268 4.661
Mo 0.652 -1.210 3.976
```

SG: Cm (8)
Energy of formation in eV per atom: 0.06
Energy relative to the lowest polymorph listed for this composition in kJ/mol of formula units: 43.3

=====

The following is a GGA-PBE calculation of a relaxed Ni3Mo5 crystal, from Alexandria via LeMat-Bulk.

The structure in extended XYZ format:
```
16
Lattice="7.347 0.000 0.000 3.673 6.362 0.000 0.000 0.000 4.832" Properties=species:S:1:pos:R:3 pbc="T T T"
Ni 4.310 0.000 1.208
Ni 6.710 6.362 3.624
Ni 5.192 3.733 1.208
Ni 1.518 2.630 1.208
Ni 2.155 3.733 3.624
Ni 5.829 2.629 3.624
Mo 7.347 4.241 0.000
Mo 3.673 2.121 2.416
Mo 3.673 2.121 4.832
Mo 7.347 4.241 2.416
Mo 5.290 6.362 1.208
Mo 9.404 6.362 3.624
Mo 6.539 1.399 1.208
Mo 2.866 4.963 1.208
Mo 0.808 1.399 3.624
Mo 4.481 4.963 3.624
```

SG: P6_3/mcm (193)
Energy of formation in eV per atom: 0.09
Energy relative to the lowest polymorph listed for this composition in kJ/mol of formula units: 25.2

=====

The following is a GGA-PBE calculation of a relaxed NiMo crystal, from Alexandria via LeMat-Bulk.

The structure in extended XYZ format:
```
12
Lattice="-0.710 -1.105 -2.250 11.419 -6.817 -0.256 -2.012 -3.458 2.333" Properties=species:S:1:pos:R:3 pbc="T T T"
Ni 7.596 -9.338 0.680
Ni -0.376 -4.580 0.859
Ni 2.892 -4.201 -0.358
Ni 6.340 -6.259 -0.436
Ni -0.079 -0.135 0.091
Ni 4.625 -5.273 1.130
Mo 1.959 -5.103 1.888
Mo 6.063 -7.553 1.796
Mo 8.674 -6.783 0.593
Mo 1.359 -2.416 0.757
Mo -1.441 -2.419 0.134
Mo 5.274 -4.099 -1.160
```

SG: Amm2 (38)
Energy of formation in eV per atom: 0.08

=====

The following is a GGA-PBE calculation of a relaxed NiMo4 crystal, from Alexandria via LeMat-Bulk.

The structure in extended XYZ format:
```
5
Lattice="4.438 0.000 0.000 0.000 4.438 0.000 0.000 0.000 4.438" Properties=species:S:1:pos:R:3 pbc="T T T"
Ni 2.219 2.219 2.219
Mo 0.000 0.000 0.000
Mo 2.219 0.000 2.219
Mo 0.000 2.219 2.219
Mo 2.219 2.219 0.000
```

SG: Pm-3m (221)
Energy of formation in eV per atom: 1.43
Energy relative to the lowest polymorph listed for this composition in kJ/mol of formula units: 619.5

=====

The following is a GGA-PBE calculation of a relaxed NiMo4 crystal, from Alexandria via LeMat-Bulk.

The structure in extended XYZ format:
```
5
Lattice="-0.093 -5.873 2.054 -4.526 -4.112 -1.155 3.689 4.141 -2.822" Properties=species:S:1:pos:R:3 pbc="T T T"
Ni 0.000 0.000 0.000
Mo -1.573 -2.482 -1.764
Mo -2.834 -6.126 0.551
Mo -1.785 -3.859 0.347
Mo 0.643 -3.362 -0.160
```

SG: I4/mmm (139)
Energy of formation in eV per atom: 1.06
Energy relative to the lowest polymorph listed for this composition in kJ/mol of formula units: 441.0

=====

no.,DFT total energy (eV/atom)
1,-7.447
2,-8.348
3,-6.709
4,-7.405
5,-8.850
6,-8.230
7,-8.393
8,-8.763